VASP calculation (PBE-GGA) on crystalline TbOsNO at its relaxed geometry.

Properties
Total magnetic moment ... 0.01 μB/f.u.
Excess energy over the best structure of this formula in the dataset ... 0 meV per atom

Unit cell a=5.542 b=8.486 c=4.689 alpha=90.00 beta=90.00 gamma=90.00
Element x y z (fractional)
Tb 0.022 0.158 0.000
Tb 0.478 0.158 0.500
Tb 0.522 0.842 0.000
Tb 0.978 0.842 0.500
Os 0.108 0.511 0.168
Os 0.392 0.511 0.668
Os 0.608 0.489 0.168
Os 0.892 0.489 0.668
N 0.130 0.651 0.826
N 0.370 0.651 0.326
N 0.630 0.349 0.826
N 0.870 0.349 0.326
O 0.097 0.089 0.520
O 0.403 0.089 0.020
O 0.597 0.911 0.520
O 0.903 0.911 0.020

=====

VASP calculation (PBE-GGA) on crystalline Ta4Re9 at its relaxed geometry.

Properties
Energy of formation from the pure elements ... -0.02 eV/atom
Total magnetic moment ... 0.01 μB/f.u.
Excess energy over the best structure of this formula in the dataset ... 116 meV per atom

Unit cell a=9.685 b=9.685 c=9.685 alpha=30.80 beta=30.80 gamma=30.80
Element x y z (fractional)
Ta 0.048 0.048 0.048
Ta 0.151 0.151 0.151
Ta 0.849 0.849 0.849
Ta 0.952 0.952 0.952
Re 0.083 0.590 0.590
Re 0.335 0.335 0.335
Re 0.410 0.410 0.917
Re 0.410 0.917 0.410
Re 0.500 0.500 0.500
Re 0.590 0.083 0.590
Re 0.590 0.590 0.083
Re 0.665 0.665 0.665
Re 0.917 0.410 0.410

=====

VASP calculation (PBE-GGA) on crystalline TbY2Ga3AgPt2 at its relaxed geometry.

Properties
Total magnetic moment ... 0.00 μB/f.u.
E ... -5.5074 eV/atom

Unit cell a=3.739 b=7.533 c=7.533 alpha=120.04 beta=90.00 gamma=90.00
Element x y z (fractional)
Tb 0.000 0.000 0.000
Y 0.000 0.184 0.592
Y 0.000 0.592 0.184
Ga 0.500 0.321 0.321
Ga 0.500 0.591 0.862
Ga 0.500 0.862 0.591
Ag 0.000 0.592 0.592
Pt 0.500 0.258 0.925
Pt 0.500 0.925 0.258

=====

VASP calculation (PBE-GGA) on crystalline NaCu3WSe4 at its relaxed geometry.

Properties
Total magnetic moment ... 1.91 μB/f.u.
E ... -4.5572 eV/atom

Unit cell a=5.913 b=5.913 c=5.913 alpha=90.00 beta=90.00 gamma=90.00
Element x y z (fractional)
Na 0.000 0.000 0.000
Cu 0.000 0.500 0.500
Cu 0.500 0.000 0.500
Cu 0.500 0.500 0.000
W 0.500 0.500 0.500
Se 0.263 0.263 0.263
Se 0.263 0.737 0.737
Se 0.737 0.263 0.737
Se 0.737 0.737 0.263

=====

VASP calculation (PBE-GGA) on crystalline TcNiBAu at its relaxed geometry.

Properties
Total magnetic moment ... 0.14 μB/f.u.
Excess energy over the best structure of this formula in the dataset ... 170 meV per atom

Unit cell a=4.172 b=4.172 c=4.172 alpha=60.00 beta=60.00 gamma=60.00
Element x y z (fractional)
Tc 0.000 0.000 0.000
Ni 0.500 0.500 0.500
B 0.250 0.250 0.250
Au 0.750 0.750 0.750

=====

VASP calculation (PBE-GGA) on crystalline ErTmFe2Ge2 at its relaxed geometry.

Properties
Total magnetic moment ... 0.20 μB/f.u.
E ... -6.3521 eV/atom

Unit cell a=4.084 b=4.084 c=6.424 alpha=90.00 beta=90.00 gamma=90.00
Element x y z (fractional)
Er 0.000 0.000 0.000
Tm 0.500 0.500 0.620
Fe 0.000 0.500 0.312
Fe 0.500 0.000 0.312
Ge 0.000 0.000 0.511
Ge 0.500 0.500 0.112

=====

VASP calculation (PBE-GGA) on crystalline DyTmSi2Sn2 at its relaxed geometry.

Properties
Total magnetic moment ... 0.01 μB/f.u.
E ... -5.1943 eV/atom

Unit cell a=3.945 b=8.407 c=8.407 alpha=29.37 beta=90.00 gamma=90.00
Element x y z (fractional)
Dy 0.000 0.000 0.000
Tm 0.500 0.814 0.814
Si 0.000 0.358 0.358
Si 0.500 0.451 0.451
Sn 0.000 0.650 0.650
Sn 0.500 0.166 0.166

=====

VASP calculation (PBE-GGA) on crystalline PrBi2 at its relaxed geometry.

Properties
Total magnetic moment ... 0.01 μB/f.u.
E ... -4.5442 eV/atom

Unit cell a=7.109 b=8.614 c=3.556 alpha=90.00 beta=90.00 gamma=90.00
Element x y z (fractional)
Pr 0.000 0.000 0.000
Pr 0.500 0.500 0.500
Bi 0.135 0.363 0.000
Bi 0.365 0.863 0.500
Bi 0.635 0.137 0.500
Bi 0.865 0.637 0.000

=====

VASP calculation (PBE-GGA) on crystalline AcUSi at its relaxed geometry.

Properties
Total magnetic moment ... 3.13 μB/f.u.
Excess energy over the best structure of this formula in the dataset ... 0 meV per atom

Unit cell a=5.048 b=5.048 c=5.048 alpha=60.00 beta=60.00 gamma=60.00
Element x y z (fractional)
Ac 0.000 0.000 0.000
U 0.500 0.500 0.500
Si 0.250 0.250 0.250

=====

VASP calculation (PBE-GGA) on crystalline Cs2Rb2CdSb2 at its relaxed geometry.

Properties
Excess energy over the best structure of this formula in the dataset ... 5 meV per atom

Unit cell a=10.792 b=10.792 c=10.792 alpha=34.98 beta=34.98 gamma=34.98
Element x y z (fractional)
Cs 0.115 0.115 0.115
Cs 0.885 0.885 0.885
Rb 0.291 0.291 0.291
Rb 0.709 0.709 0.709
Cd 0.500 0.500 0.500
Sb 0.411 0.411 0.411
Sb 0.589 0.589 0.589

=====

VASP calculation (PBE-GGA) on crystalline BaLaAuS3 at its relaxed geometry.

Properties
Total magnetic moment ... 0.00 μB/f.u.
E ... -5.3120 eV/atom

Unit cell a=9.407 b=9.407 c=8.561 alpha=102.50 beta=102.50 gamma=25.78
Element x y z (fractional)
Ba 0.130 0.130 0.074
Ba 0.870 0.870 0.926
La 0.162 0.162 0.585
La 0.838 0.838 0.415
Au 0.463 0.463 0.282
Au 0.537 0.537 0.718
S 0.000 0.000 0.500
S 0.322 0.322 0.176
S 0.324 0.324 0.638
S 0.500 0.500 0.000
S 0.676 0.676 0.362
S 0.678 0.678 0.824

=====

VASP calculation (PBE-GGA) on crystalline Sc2SiPbAu2 at its relaxed geometry.

Properties
Total magnetic moment ... 0.00 μB/f.u.
E ... -5.2994 eV/atom

Unit cell a=11.097 b=4.538 c=11.119 alpha=90.00 beta=109.49 gamma=90.00
Element x y z (fractional)
Sc 0.000 0.000 0.000
Sc 0.101 0.500 0.369
Sc 0.227 0.000 0.737
Sc 0.375 0.500 0.136
Sc 0.487 0.000 0.500
Sc 0.614 0.500 0.860
Sc 0.739 0.000 0.251
Sc 0.857 0.500 0.616
Si 0.242 0.000 0.250
Si 0.613 0.500 0.375
Si 0.736 0.000 0.738
Si 0.980 0.000 0.493
Pb 0.109 0.500 0.871
Pb 0.357 0.500 0.615
Pb 0.493 0.000 0.001
Pb 0.864 0.500 0.118
Au 0.134 0.500 0.139
Au 0.217 0.000 0.478
Au 0.362 0.500 0.871
Au 0.493 0.000 0.265
Au 0.620 0.500 0.616
Au 0.742 0.000 0.973
Au 0.856 0.500 0.378
Au 0.970 0.000 0.730